1.
Here is a geometry-optimized Y6InRu2 structure from Alexandria. Energies are from PBE.

For the density of states at the Fermi level, the calculation gives 34.7 states/eV per cell. The calculated total energy comes out at -7.05 eV/atom. The value obtained for the formation energy is -3.4 eV/f.u.

The space group is Immm (No. 71) and the conventional cell measures 9.426, 9.570 and 10.486 Å, with angles of 90.00, 90.00 and 90.00 degrees. The asymmetric unit holds Y at (0.000, 0.204, 0.241), Y at (0.187, 0.500, 0.171), Y at (0.214, 0.317, 0.500), In at (0.000, 0.000, 0.000), In at (0.000, 0.000, 0.500), Ru at (0.000, 0.326, 0.000) and Ru at (0.000, 0.500, 0.375).



2.
Here is a geometry-optimized YInRu2 structure from Alexandria. Energies are from PBE.

For the density of states at the Fermi level, the calculation gives 3.5 states/eV per cell. The calculated total energy comes out at -7.05 eV/atom. The value obtained for the formation energy is -0.5 eV/f.u.

The space group is Imm2 (No. 44) and the conventional cell measures 3.247, 4.585 and 9.974 Å, with angles of 90.00, 90.00 and 90.00 degrees. The asymmetric unit holds Y at (0.000, 0.000, 0.000), In at (0.000, 0.500, 0.778), Ru at (0.000, 0.000, 0.520) and Ru at (0.000, 0.500, 0.237).



3.
Here is a geometry-optimized YInRu2 structure from Alexandria. Energies are from PBE.

For the density of states at the Fermi level, the calculation gives 15.1 states/eV per cell. The calculated total energy comes out at -6.77 eV/atom. The value obtained for the formation energy is 0.7 eV/f.u.

The space group is F-43m (No. 216) and the conventional cell measures 6.715, 6.715 and 6.715 Å, with angles of 90.00, 90.00 and 90.00 degrees. The asymmetric unit holds Y at (0.000, 0.000, 0.000), In at (0.250, 0.250, 0.750), Ru at (0.000, 0.000, 0.500) and Ru at (0.250, 0.250, 0.250).



4.
Here is a geometry-optimized Y4InRu3 structure from Alexandria. Energies are from PBE.

For the density of states at the Fermi level, the calculation gives 4.2 states/eV per cell. The calculated total energy comes out at -7.39 eV/atom. The value obtained for the formation energy is -2.7 eV/f.u.

The space group is P4/mmm (No. 123) and the conventional cell measures 4.897, 4.897 and 7.154 Å, with angles of 90.00, 90.00 and 90.00 degrees. The asymmetric unit holds Y at (0.000, 0.500, 0.233), In at (0.000, 0.000, 0.500), Ru at (0.000, 0.000, 0.000), Ru at (0.500, 0.500, 0.000) and Ru at (0.500, 0.500, 0.500).



5.
Here is a geometry-optimized Y2InRu structure from Alexandria. Energies are from PBE.

For the density of states at the Fermi level, the calculation gives 6.9 states/eV per cell. The calculated total energy comes out at -6.26 eV/atom. The value obtained for the formation energy is -0.1 eV/f.u.

The space group is Immm (No. 71) and the conventional cell measures 3.448, 4.130 and 15.353 Å, with angles of 90.00, 90.00 and 90.00 degrees. The asymmetric unit holds Y at (0.000, 0.000, 0.167), In at (0.000, 0.000, 0.500) and Ru at (0.000, 0.000, 0.000).



6.
Here is a geometry-optimized YInRu2 structure from Alexandria. Energies are from PBE.

For the density of states at the Fermi level, the calculation gives 11.3 states/eV per cell. The calculated total energy comes out at -6.58 eV/atom. The value obtained for the formation energy is 1.4 eV/f.u.

The space group is R3m (No. 160, hexagonal axes) and the conventional cell measures 3.0780, 3.0780 and 28.1424 Å, with angles of 90.00, 90.00 and 120.00 degrees. The asymmetric unit holds Y at (0.0000, 0.0000, 0.0000), In at (0.0000, 0.0000, 0.2324), Ru at (0.0000, 0.0000, 0.4862) and Ru at (0.0000, 0.0000, 0.7507).